Entry 1:
VASP calculation (GGA-PBE) on a relaxed Tl2WC crystal.

Calculated values
Space-group type: No. 122
Energy above the lowest structure with this stoichiometry in meV/atom: 0
E_form in meV per atom: 1324

Cell: 9.6285 9.6285 7.1049 Å, 47.34 47.34 90.00°
With the nearest neighbours (Å) after each atom.
Fractional coordinates of all 8 atoms:
Tl  0.4746  0.1250  0.2500  2 C 2.64
Tl  0.2754  0.6250  0.2500  2 C 2.64
Tl  0.3750  0.5254  0.7500  2 C 2.64
Tl  0.8750  0.7246  0.7500  2 C 2.64
C  0.5000  0.5000  0.0000  2 W 2.03
C  0.2500  0.7500  0.5000  2 W 2.03
W  0.0000  0.0000  0.0000  2 C 2.03
W  0.7500  0.2500  0.5000  2 C 2.03



Entry 2:
VASP calculation (GGA-PBE) on a relaxed Y2TlWC crystal.

Calculated values
Space-group type: No. 123
E_form in meV per atom: -169

Cell: 5.0001 5.0001 4.1470 Å, 90.00 90.00 90.00°
With the nearest neighbours (Å) after each atom.
Fractional coordinates of all 5 atoms:
Y  0.0000  0.5000  0.0000  2 C 2.50
Y  0.5000  0.0000  0.0000  2 C 2.50
Tl  0.5000  0.5000  0.5000  8 Y 3.25, 4 W 3.54
C  0.0000  0.0000  0.0000  2 W 2.07
W  0.0000  0.0000  0.5000  2 C 2.07



Entry 3:
VASP calculation (GGA-PBE) on a relaxed Y4Tl2C crystal.

Calculated values
Space-group type: No. 139
E_form in meV per atom: -368

Cell: 4.9524 4.9524 8.3660 Å, 72.78 72.78 90.00°
With the nearest neighbours (Å) after each atom.
Fractional coordinates of all 7 atoms:
Y  0.1630  0.1630  0.6740  1 C 2.48
Y  0.8370  0.8370  0.3260  1 C 2.48
Y  0.0000  0.5000  0.0000  2 C 2.48
Y  0.5000  0.0000  0.0000  2 C 2.48
Tl  0.3678  0.3678  0.2645  5 Y 3.11-3.19
Tl  0.6322  0.6322  0.7355  5 Y 3.11-3.19
C  0.0000  0.0000  0.0000  6 Y 2.48



Question: Which of these has the highest E_form?
Answer: Tl2WC